Record 1
Entry from the Alexandria database: a relaxed Y12Zn3N5 crystal (GGA-PBE).

POSCAR file:
```
Y12Zn3N5
1.0
-11.1576 -2.0819 -7.0045
-2.6276 -1.2343 13.0177
4.5714 12.2842 -2.4676
Zn N Y
12 20 48
Direct
0.7500 0.3750 0.1250
0.8750 0.7500 0.1250
0.3750 0.7500 0.6250
0.2500 0.1250 0.3750
0.8750 0.1250 0.2500
0.3750 0.6250 0.2500
0.6250 0.3750 0.7500
0.1250 0.8750 0.7500
0.7500 0.8750 0.6250
0.6250 0.2500 0.3750
0.1250 0.2500 0.8750
0.2500 0.6250 0.8750
0.1250 0.3750 0.2500
0.0000 0.5000 0.0000
0.0000 0.0000 0.0000
0.3750 0.2500 0.1250
0.5000 0.0000 0.5000
0.5000 0.5000 0.0000
0.1250 0.7500 0.3750
0.7500 0.1250 0.8750
0.7500 0.6250 0.3750
0.3750 0.1250 0.7500
0.6250 0.8750 0.2500
0.5000 0.5000 0.5000
0.5000 0.0000 0.0000
0.0000 0.0000 0.5000
0.2500 0.3750 0.6250
0.2500 0.8750 0.1250
0.0000 0.5000 0.5000
0.8750 0.2500 0.6250
0.6250 0.7500 0.8750
0.8750 0.6250 0.7500
0.7014 0.1138 0.0169
0.3155 0.5169 0.4031
0.9831 0.3862 0.2986
0.5169 0.2014 0.1138
0.5876 0.7014 0.6845
0.9831 0.5969 0.1845
0.3155 0.7986 0.4124
0.0969 0.9124 0.1138
0.5969 0.9831 0.6845
0.7014 0.5876 0.1845
0.7986 0.4831 0.3862
0.8155 0.9031 0.0169
0.1138 0.7014 0.5169
0.3862 0.4031 0.0876
0.0876 0.9031 0.3862
0.4124 0.1138 0.5969
0.0876 0.1845 0.2014
0.4831 0.6845 0.0969
0.8155 0.9124 0.2986
0.1138 0.4124 0.0969
0.3862 0.9831 0.7986
0.5969 0.6138 0.4124
0.9031 0.8155 0.5169
0.7986 0.3155 0.9124
0.4031 0.3862 0.5876
0.0969 0.1845 0.4831
0.2014 0.6845 0.0876
0.1845 0.0876 0.7014
0.6138 0.0169 0.2014
0.8862 0.5876 0.9031
0.5169 0.3155 0.9031
0.5876 0.8862 0.4031
0.9124 0.8155 0.7986
0.9124 0.0969 0.6138
0.8862 0.2986 0.4831
0.1845 0.0969 0.9831
0.6138 0.5969 0.9124
0.4031 0.0169 0.3155
0.2986 0.4124 0.8155
0.2014 0.5169 0.6138
0.9031 0.0876 0.8862
0.6845 0.2014 0.5876
0.4831 0.7986 0.8862
0.0169 0.4031 0.8155
0.4124 0.2986 0.3155
0.0169 0.6138 0.7014
0.6845 0.4831 0.5969
0.2986 0.8862 0.9831
```

Values from the calculation:
density = 4.848 g/cm3
total energy = -6.94 eV/atom
spin magnetization = 0.00 Bohr magnetons per cell
space-group type = Ia-3d, No. 230

***

Record 2
Entry from the Alexandria database: a relaxed AcYCu2Se4 crystal (GGA-PBE).

POSCAR file:
```
AcYCu2Se4
1.0
6.8283 0.0000 0.0000
3.4142 5.4981 0.0819
3.4142 0.5322 5.4728
Ac Y Cu Se
1 1 2 4
Direct
0.0000 0.0000 0.0000
0.5000 0.5000 0.5000
0.1546 0.3454 0.3454
0.8454 0.6546 0.6546
0.4552 0.0955 0.5074
0.0582 0.9045 0.4926
0.9418 0.5074 0.0955
0.5448 0.4926 0.9045
```

Values from the calculation:
density = 6.142 g/cm3
total energy = -5.24 eV/atom
spin magnetization = 0.00 Bohr magnetons per cell
space-group type = I222, No. 23

***

Record 3
Entry from the Alexandria database: a relaxed CdPtSe crystal (GGA-PBE).

POSCAR file:
```
CdPtSe
1.0
-1.7631 -0.6936 -4.0750
2.1191 -2.6540 -2.9430
-1.7220 -4.0161 -1.0493
Cd Pt Se
1 1 1
Direct
0.5000 0.5000 0.5000
0.7500 0.7500 0.7500
0.0000 0.0000 0.0000
```

Values from the calculation:
ΔE to the lowest computed polymorph = 101 meV per atom
density = 10.000 g/cm3
total energy = -3.62 eV/atom
spin magnetization = 0.00 Bohr magnetons per cell
space-group type = F-43m, No. 216